Entry from Alexandria: a relaxed UGa2Ag crystal (PBE-GGA).

Output
Its calculated total energy is -5.11 eV/atom. Its energy of formation is -0.0584 eV per atom. Its calculated volume is 17.849 A^3/atom. The energy above the most stable polymorph in this dataset is 0 meV/atom. For the mass density, the calculation gives 11288 kg/m³. As for the density of states at the Fermi level: 3.129 states/eV/f.u.

Lattice parameters (Å, degrees): 2.826 2.826 8.937 90.00 90.00 90.00
Sites, in units of the cell vectors:
U1 0.000 0.000 0.000
Ga1 0.500 0.500 0.262
Ga2 0.500 0.500 0.738
Ag1 0.000 0.000 0.500